Computed, not measured: a PBEsol-optimized structure of Li2Si at the SCAN level of DFT.

Results
Formation energy without anion corrections   -202 meV per atom
Total magnetic moment   0.001 μB per cell
N(E_F)   0.9 states/eV/f.u.

```
Li2Si
1.0
2.593 0.000 0.000
0.000 4.276 0.000
0.000 -2.138 3.703
Li Si
2 1
direct
0.000 0.667 0.333
0.000 0.333 0.667
0.500 0.000 0.000
```